(1)
Entry from Alexandria: an optimized crystal structure of Hf3BiW (GGA-PBE).

a b c (Å): 5.194 5.194 5.194
angles (deg): 90.00 90.00 90.00
Fractional coordinates of all 5 atoms:
1 Hf 0.500 0.000 0.000
2 Hf 0.000 0.500 0.000
3 Bi 0.000 0.000 0.000
4 Hf 0.000 0.000 0.500
5 W 0.500 0.500 0.500

The crystal system is cubic. As for the space-group type: Pm-3m (221).



(2)
Entry from Alexandria: an optimized crystal structure of HfBiW3 (GGA-PBE).

a b c (Å): 4.958 4.958 4.958
angles (deg): 90.00 90.00 90.00
Fractional coordinates of all 5 atoms:
1 Bi 0.000 0.000 0.000
2 Hf 0.500 0.500 0.500
3 W 0.000 0.500 0.000
4 W 0.000 0.000 0.500
5 W 0.500 0.000 0.000

The crystal system is cubic. As for the space-group type: Pm-3m (221).



(3)
Entry from Alexandria: an optimized crystal structure of Hf3BiW (GGA-PBE).

a b c (Å): 5.101 5.101 5.101
angles (deg): 90.00 90.00 90.00
Fractional coordinates of all 5 atoms:
1 Hf 0.000 0.500 0.000
2 Bi 0.500 0.500 0.500
3 Hf 0.000 0.000 0.500
4 Hf 0.500 0.000 0.000
5 W 0.000 0.000 0.000

The crystal system is cubic. As for the space-group type: Pm-3m (221).



(4)
Entry from Alexandria: an optimized crystal structure of Hf8Bi2W (GGA-PBE).

a b c (Å): 4.914 7.478 7.870
angles (deg): 115.05 108.19 90.00
Fractional coordinates of all 11 atoms:
1 W 0.500 0.000 0.000
2 Bi 0.204 0.646 0.408
3 Hf 0.661 0.898 0.323
4 Hf 0.966 0.236 0.932
5 Hf 0.034 0.764 0.068
6 Hf 0.339 0.102 0.677
7 Bi 0.796 0.354 0.592
8 Hf 0.581 0.420 0.162
9 Hf 0.419 0.580 0.838
10 Hf 0.150 0.196 0.300
11 Hf 0.850 0.804 0.700

The crystal system is monoclinic. As for the space-group type: C2/m (12).



(5)
Entry from Alexandria: an optimized crystal structure of HfBiW2 (GGA-PBE).

a b c (Å): 4.096 4.096 10.701
angles (deg): 78.97 78.97 90.00
Fractional coordinates of all 8 atoms:
1 W 0.175 0.625 0.250
2 Hf 0.250 0.750 0.500
3 Hf 0.500 0.500 0.000
4 Bi 0.750 0.250 0.500
5 W 0.375 0.425 0.750
6 Bi 0.000 0.000 0.000
7 W 0.875 0.825 0.750
8 W 0.575 0.125 0.250

The crystal system is tetragonal. As for the space-group type: I-42d (122).



(6)
Entry from Alexandria: an optimized crystal structure of YHfBiW2 (GGA-PBE).

a b c (Å): 4.848 5.632 4.848
angles (deg): 90.00 90.00 90.00
Fractional coordinates of all 5 atoms:
1 W 0.500 0.000 0.000
2 Y 0.000 0.500 0.000
3 Hf 0.000 0.000 0.000
4 W 0.000 0.000 0.500
5 Bi 0.500 0.500 0.500

The crystal system is tetragonal. As for the space-group type: P4/mmm (123).



(7)
Entry from Alexandria: an optimized crystal structure of Y2Hf2Bi (GGA-PBE).

a b c (Å): 7.746 7.746 4.609
angles (deg): 90.00 90.00 90.00
Fractional coordinates of all 10 atoms:
1 Hf 0.133 0.367 0.000
2 Bi 0.000 0.000 0.000
3 Y 0.839 0.339 0.500
4 Y 0.661 0.839 0.500
5 Hf 0.633 0.133 0.000
6 Y 0.161 0.661 0.500
7 Hf 0.367 0.867 0.000
8 Y 0.339 0.161 0.500
9 Hf 0.867 0.633 0.000
10 Bi 0.500 0.500 0.000

The crystal system is tetragonal. As for the space-group type: P4/mbm (127).



(8)
Entry from Alexandria: an optimized crystal structure of YHfBi2 (GGA-PBE).

a b c (Å): 5.323 5.323 5.323
angles (deg): 60.00 60.00 60.00
Site moments in Bohr magnetons follow the coordinates.
Fractional coordinates of all 4 atoms:
1 Bi 0.250 0.250 0.250  -0.03
2 Y 0.000 0.000 0.000  0.12
3 Bi 0.750 0.750 0.750  -0.03
4 Hf 0.500 0.500 0.500  0.34

The crystal system is cubic. As for the space-group type: Fm-3m (225).



(9)
Entry from Alexandria: an optimized crystal structure of YHfBi (GGA-PBE).

a b c (Å): 4.360 4.360 8.356
angles (deg): 90.00 90.00 90.00
Fractional coordinates of all 6 atoms:
1 Bi 0.500 0.000 0.768
2 Bi 0.000 0.500 0.232
3 Y 0.500 0.000 0.153
4 Hf 0.000 0.000 0.500
5 Hf 0.500 0.500 0.500
6 Y 0.000 0.500 0.847

The crystal system is tetragonal. As for the space-group type: P4/nmm (129).



(10)
Entry from Alexandria: an optimized crystal structure of Y2HfBi (GGA-PBE).

a b c (Å): 8.662 8.662 6.882
angles (deg): 51.00 51.00 90.00
Site moments in Bohr magnetons follow the coordinates.
Fractional coordinates of all 8 atoms:
1 Y 0.113 0.625 0.250  -0.04
2 Y 0.637 0.125 0.250  -0.04
3 Bi 0.750 0.250 0.500  0.00
4 Bi 0.000 0.000 0.000  0.00
5 Y 0.875 0.887 0.750  -0.06
6 Hf 0.250 0.750 0.500  0.05
7 Y 0.375 0.363 0.750  -0.06
8 Hf 0.500 0.500 0.000  0.05

The crystal system is tetragonal. As for the space-group type: I-42d (122).



(11)
Entry from Alexandria: an optimized crystal structure of YHfBi3 (GGA-PBE).

a b c (Å): 5.613 5.613 5.613
angles (deg): 90.00 90.00 90.00
Fractional coordinates of all 5 atoms:
1 Y 0.500 0.500 0.500
2 Bi 0.000 0.000 0.500
3 Bi 0.000 0.500 0.000
4 Hf 0.000 0.000 0.000
5 Bi 0.500 0.000 0.000

The crystal system is cubic. As for the space-group type: Pm-3m (221).



(12)
Entry from Alexandria: an optimized crystal structure of YHfBi2 (GGA-PBE).

a b c (Å): 6.905 6.905 8.315
angles (deg): 65.47 65.47 90.00
Fractional coordinates of all 8 atoms:
1 Y 0.500 0.500 0.000
2 Y 0.250 0.750 0.500
3 Bi 0.099 0.625 0.250
4 Bi 0.375 0.349 0.750
5 Hf 0.000 0.000 0.000
6 Bi 0.875 0.901 0.750
7 Bi 0.651 0.125 0.250
8 Hf 0.750 0.250 0.500

The crystal system is tetragonal. As for the space-group type: I-42d (122).



(13)
Entry from Alexandria: an optimized crystal structure of YHfBi2 (GGA-PBE).

a b c (Å): 3.468 3.468 11.414
angles (deg): 81.26 81.26 60.00
Fractional coordinates of all 4 atoms:
1 Y 0.000 0.000 0.000
2 Bi 0.905 0.905 0.286
3 Hf 0.500 0.500 0.500
4 Bi 0.095 0.095 0.714

The crystal system is trigonal. As for the space-group type: R-3m (166).



no.,Fermi-level density of states (states/eV/f.u.),ΔH_f (0 K) (eV per atom),DFT total energy (eV for the cell shown)
1,5.2,1.9851,-36.8
2,6.9,2.7115,-39.1
3,11.4,0.7608,-42.9
4,9.3,0.0350,-100.0
5,3.4,0.9600,-71.8
6,5.0,1.6056,-38.2
7,7.3,-0.0022,-73.5
8,4.3,-0.2456,-25.2
9,2.3,-0.4726,-43.4
10,4.8,0.2292,-51.7
11,5.2,0.2052,-27.0
12,3.7,0.1336,-47.3
13,3.5,0.0222,-24.1